Compound: Li4SnBiAu2
Source: the Open Quantum Materials Database
Functional: PBE
Structure: relaxed

## Properties
For the total energy, the calculation gives -26.23 eV/f.u.

The structure in POSCAR format:
```
Li4SnBiAu2
1.0
-0.964 -2.231 3.974
4.288 0.932 1.563
-2.212 5.708 2.668
Au Bi Li Sn
2 1 4 1
Direct
0.500 0.000 0.271 Au
0.000 0.500 0.729 Au
0.000 0.000 0.000 Bi
0.500 0.500 0.000 Li
0.000 0.500 0.260 Li
0.000 0.000 0.500 Li
0.500 0.000 0.740 Li
0.500 0.500 0.500 Sn
```